(1)
The following is a GGA-PBE calculation of a relaxed structure of Ba2MgTl, from Alexandria via LeMat-Bulk.

The structure in CIF format:
```
data_Ba2MgTl
_chemical_formula_sum 'Ba2 Mg1 Tl1'
_cell_length_a 4.300
_cell_length_b 4.300
_cell_length_c 8.766
_cell_angle_alpha 90.00
_cell_angle_beta 90.00
_cell_angle_gamma 90.00
_space_group_name_H-M_alt 'P 4/m m m'
_space_group_IT_number 123
_space_group_name_Hall '-P 4 2'
loop_
_atom_site_label
_atom_site_fract_x
_atom_site_fract_y
_atom_site_fract_z
Ba1 0.000 0.000 0.241
Mg1 0.500 0.500 0.500
Tl1 0.500 0.500 0.000
```

=====

(2)
# BaMg3Tl3 | Alexandria via LeMat-Bulk | GGA-PBE | optimized geometry
# Energy above the most stable polymorph in this dataset, eV/f.u.: 2.10
data_BaMg3Tl3
_chemical_formula_sum 'Ba8 Mg24 Tl24'
_cell_length_a 13.911
_cell_length_b 13.911
_cell_length_c 13.911
_cell_angle_alpha 90.00
_cell_angle_beta 90.00
_cell_angle_gamma 90.00
_space_group_name_H-M_alt 'F m -3 m'
_space_group_IT_number 225
_space_group_name_Hall '-F 4 2 3'
loop_
_atom_site_label
_atom_site_fract_x
_atom_site_fract_y
_atom_site_fract_z
Ba1 0.250 0.250 0.250
Mg1 0.000 0.000 0.150
Tl1 0.000 0.000 0.342

=====

Computed calculated formation energy, in the same sequence as the records: -0.24, 0.40 eV per atom.
Computed M_tot, in the same sequence as the records: 0.000, 0.000 μB per cell.